(1)
SmMgZnPt2 | GGA-PBE | relaxed

Summary:
The calculated total energy is -4.804 eV per atom. The theoretical density is 10.62 Mg/m³. For the formation energy, the calculation gives -4.351 eV/f.u.

Unit cell a=3.9551 b=3.9551 c=12.6022 alpha=90.00 beta=90.00 gamma=90.00
With the nearest neighbours (Å) after each atom.
Space group I-4m2 (No. 119)
Inequivalent atoms, fractional coordinates:
Sm (0.0000, 0.0000, 0.0000) [2 per cell]  8 Pt 3.11
Mg (0.0000, 0.5000, 0.7500) [2 per cell]  4 Pt 2.67, 4 Zn 2.80
Zn (0.0000, 0.5000, 0.2500) [2 per cell]  4 Pt 2.67, 4 Mg 2.80
Pt (0.0000, 0.0000, 0.3918) [4 per cell]  2 Mg 2.67, 2 Zn 2.67, 1 Pt 2.73



(2)
Mg2Sn2Pt3 | GGA-PBE | relaxed

Summary:
The calculated total energy is -4.783 eV per atom. The theoretical density is 10.78 Mg/m³. For the formation energy, the calculation gives -4.163 eV/f.u.

Unit cell a=4.5046 b=4.6324 c=7.7430 alpha=89.12 beta=73.20 gamma=61.32
With the nearest neighbours (Å) after each atom.
Space group P-1 (No. 2)
Inequivalent atoms, fractional coordinates:
Mg (0.2319, 0.1426, 0.3920) [2 per cell]  5 Pt 2.69-2.96
Sn (0.2882, 0.5940, 0.8348) [2 per cell]  7 Pt 2.69-3.00
Pt (0.0118, 0.2213, 0.7585) [2 per cell]  4 Mg 2.69-2.96, 4 Sn 2.69-3.00
Pt (0.5000, 0.0000, 0.0000) [1 per cell]  6 Sn 2.86-2.97, 2 Mg 2.88, 4 Pt 3.09-3.10



(3)
Mg6Sn3Pt | GGA-PBE | relaxed

Summary:
For the energy above the lowest structure with this stoichiometry, the calculation gives 0.000 eV per atom. The calculated total energy is -3.028 eV per atom. The theoretical density is 4.92 Mg/m³. For the formation energy, the calculation gives -2.660 eV/f.u.

Unit cell a=9.5052 b=10.6423 c=4.6503 alpha=90.00 beta=90.00 gamma=90.00
With the nearest neighbours (Å) after each atom.
Space group Pnnm (No. 58)
Inequivalent atoms, fractional coordinates:
Mg (0.1142, 0.2353, 0.0000) [4 per cell]  1 Pt 2.73, 4 Sn 2.90-3.02, 1 Mg 2.99
Mg (0.1154, 0.9136, 0.5000) [4 per cell]  2 Pt 2.73, 1 Mg 2.86, 2 Sn 3.00
Mg (0.1908, 0.5147, 0.5000) [4 per cell]  1 Pt 2.94, 3 Sn 2.95-3.05, 3 Mg 2.99-3.16
Sn (0.0000, 0.5000, 0.0000) [2 per cell]  6 Mg 2.95-3.02, 2 Sn 3.20
Sn (0.1899, 0.7484, 0.0000) [4 per cell]  6 Mg 2.90-3.05, 1 Sn 3.20, 1 Pt 3.23
Pt (0.0000, 0.0000, 0.0000) [2 per cell]  8 Mg 2.73-2.94



(4)
Mg8SnPt2 | GGA-PBE | relaxed

Summary:
For the energy above the lowest structure with this stoichiometry, the calculation gives 0.028 eV per atom. The calculated total energy is -3.056 eV per atom. The theoretical density is 4.88 Mg/m³. For the formation energy, the calculation gives -4.773 eV/f.u.

Unit cell a=8.2393 b=11.9713 c=4.9803 alpha=90.00 beta=102.85 gamma=90.00
With the nearest neighbours (Å) after each atom.
Space group C2/m (No. 12)
Inequivalent atoms, fractional coordinates:
Mg (0.0000, 0.2471, 0.0000) [4 per cell]  2 Pt 2.62
Mg (0.1204, 0.0000, 0.8041) [4 per cell]  2 Pt 2.69
Mg (0.1933, 0.3651, 0.5768) [8 per cell]  2 Pt 2.69-2.71
Sn (0.0000, 0.5000, 0.0000) [2 per cell]  12 Mg 3.03-3.37
Pt (0.0000, 0.1794, 0.5000) [4 per cell]  8 Mg 2.62-2.71